Entry 1:
# BeAg2Rh (PBE, relaxed)
# Formation enthalpy at 0 K in eV per atom: 0.111
# M_tot in μB/cell: 0.01
# Space group: Immm, No. 71
data_BeAg2Rh
_cell_length_a 5.264
_cell_length_b 5.264
_cell_length_c 4.336
_cell_angle_alpha 65.68
_cell_angle_beta 65.68
_cell_angle_gamma 32.05
_space_group_name_H-M_alt 'P 1'
_space_group_IT_number 1
loop_
_space_group_symop_operation_xyz
'x,y,z'
loop_
_atom_site_label
_atom_site_type_symbol
_atom_site_fract_x
_atom_site_fract_y
_atom_site_fract_z
Ag1 Ag 0.463 0.463 0.537
Ag2 Ag 0.037 0.037 0.963
Rh1 Rh 0.250 0.250 0.250
Be1 Be 0.750 0.750 0.750

---

Entry 2:
# GaCu14Ag (PBE, relaxed)
# Formation enthalpy at 0 K in eV per atom: 0.006
# M_tot in μB/cell: 0.00
# Space group: Amm2, No. 38
data_GaCu14Ag
_cell_length_a 5.221
_cell_length_b 5.221
_cell_length_c 8.485
_cell_angle_alpha 90.00
_cell_angle_beta 90.00
_cell_angle_gamma 119.86
_space_group_name_H-M_alt 'P 1'
_space_group_IT_number 1
loop_
_space_group_symop_operation_xyz
'x,y,z'
loop_
_atom_site_label
_atom_site_type_symbol
_atom_site_fract_x
_atom_site_fract_y
_atom_site_fract_z
Cu1 Cu 0.373 0.627 0.759
Cu2 Cu 0.880 0.626 0.759
Ga1 Ga 0.042 0.958 0.500
Cu3 Cu 0.042 0.459 0.500
Cu4 Cu 0.208 0.792 0.000
Cu5 Cu 0.880 0.626 0.241
Cu6 Cu 0.710 0.794 0.000
Cu7 Cu 0.374 0.120 0.759
Cu8 Cu 0.874 0.126 0.249
Cu9 Cu 0.206 0.290 0.000
Cu10 Cu 0.709 0.291 0.000
Cu11 Cu 0.374 0.120 0.241
Cu12 Cu 0.373 0.627 0.241
Cu13 Cu 0.874 0.126 0.751
Ag1 Ag 0.542 0.458 0.500
Cu14 Cu 0.541 0.958 0.500

---

Entry 3:
# Na4SrIn (PBE, relaxed)
# Formation enthalpy at 0 K in eV per atom: 0.005
# M_tot in μB/cell: 0.00
# Space group: F-43m, No. 216
data_Na4SrIn
_cell_length_a 6.558
_cell_length_b 6.558
_cell_length_c 6.558
_cell_angle_alpha 60.00
_cell_angle_beta 60.00
_cell_angle_gamma 60.00
_space_group_name_H-M_alt 'P 1'
_space_group_IT_number 1
loop_
_space_group_symop_operation_xyz
'x,y,z'
loop_
_atom_site_label
_atom_site_type_symbol
_atom_site_fract_x
_atom_site_fract_y
_atom_site_fract_z
Sr1 Sr 0.250 0.250 0.250
In1 In 0.000 0.000 0.000
Na1 Na 0.627 0.627 0.627
Na2 Na 0.120 0.627 0.627
Na3 Na 0.627 0.627 0.120
Na4 Na 0.627 0.120 0.627

---

| no. | final energy (eV per cell) |
| --- | --- |
| 1 | -16.34 |
| 2 | -63.13 |
| 3 | -9.67 |